A plane-wave DFT calculation with PBE with a Hubbard U was carried out for a relaxed structure of SiMoIO2.

Structure (CIF):
```
data_SiMoIO2
_cell_length_a 3.9506
_cell_length_b 3.9506
_cell_length_c 7.8044
_cell_angle_alpha 90.00
_cell_angle_beta 90.00
_cell_angle_gamma 90.00
_symmetry_space_group_name_H-M 'P 1'
_symmetry_Int_Tables_number 1
loop_
_symmetry_equiv_pos_as_xyz
'x,y,z'
loop_
_atom_site_label
_atom_site_fract_x
_atom_site_fract_y
_atom_site_fract_z
_atom_site_occupancy
Mo1 0.0000 0.0000 0.0000 1
I1 0.0000 0.0000 0.5000 1
O1 0.0000 0.5000 0.0000 1
O2 0.5000 0.0000 0.0000 1
Si1 0.5000 0.5000 0.5000 1
```

DFT total energy: -5.085 eV/atom
Size of the total moment: 3.01 μB/f.u.
ΔE to the lowest computed polymorph: 0.00 eV per formula unit
Space group: P4/mmm, No. 123